Material: Hf3MgSc7
Method: DFT, GGA-PBE
State: relaxed

Structure (CIF):
```
data_Hf3MgSc7
_chemical_formula_sum 'Hf3 Mg1 Sc7'
_space_group_name_H-M_alt 'P 3 m 1'
_space_group_IT_number 156
_space_group_name_Hall 'P 3 -2"'
_cell_length_a 6.3896
_cell_length_b 6.3896
_cell_length_c 7.6730
_cell_angle_alpha 90.00
_cell_angle_beta 90.00
_cell_angle_gamma 120.00
loop_
_atom_site_label
_atom_site_fract_x
_atom_site_fract_y
_atom_site_fract_z
Hf1 0.1717 0.3435 0.0000
Mg1 0.0000 0.0000 0.3409
Sc1 0.0036 0.5018 0.3294
Sc2 0.3333 0.1666 0.6840
Sc3 0.3333 0.6667 0.6760
```

Properties
* calculated total energy: -72.65 eV/cell
* DFT formation energy: 0.284 eV per atom

---

Material: AsCSeF2
Method: DFT, GGA-PBE
State: relaxed

Structure (CIF):
```
data_AsCSeF2
_chemical_formula_sum 'As1 C1 Se1 F2'
_space_group_name_H-M_alt 'P 4/m m m'
_space_group_IT_number 123
_space_group_name_Hall '-P 4 2'
_cell_length_a 3.931
_cell_length_b 3.931
_cell_length_c 4.745
_cell_angle_alpha 90.00
_cell_angle_beta 90.00
_cell_angle_gamma 90.00
loop_
_atom_site_label
_atom_site_fract_x
_atom_site_fract_y
_atom_site_fract_z
As1 0.000 0.000 0.000
C1 0.000 0.000 0.500
Se1 0.500 0.500 0.500
F1 0.000 0.500 0.000
```

Properties
* uncorrected formation energy: 21 kJ per mole of atoms
* calculated total energy: -20.01 eV/cell

---

Material: PrGdMgAl
Method: DFT, GGA-PBE
State: relaxed

Structure (CIF):
```
data_PrGdMgAl
_chemical_formula_sum 'Pr4 Gd4 Mg4 Al4'
_space_group_name_H-M_alt 'F -4 3 m'
_space_group_IT_number 216
_space_group_name_Hall 'F -4 2 3'
_cell_length_a 7.524
_cell_length_b 7.524
_cell_length_c 7.524
_cell_angle_alpha 90.00
_cell_angle_beta 90.00
_cell_angle_gamma 90.00
loop_
_atom_site_label
_atom_site_fract_x
_atom_site_fract_y
_atom_site_fract_z
Pr1 0.000 0.000 0.000
Gd1 0.000 0.000 0.500
Mg1 0.250 0.250 0.250
Al1 0.250 0.250 0.750
```

Properties
* calculated total energy: -100.93 eV/cell
* DFT formation energy: -0.259 eV per atom

---

Material: LiZr3Mo
Method: DFT, GGA-PBE
State: relaxed

Structure (CIF):
```
data_LiZr3Mo
_chemical_formula_sum 'Li1 Zr3 Mo1'
_space_group_name_H-M_alt 'P m -3 m'
_space_group_IT_number 221
_space_group_name_Hall '-P 4 2 3'
_cell_length_a 5.111
_cell_length_b 5.111
_cell_length_c 5.111
_cell_angle_alpha 90.00
_cell_angle_beta 90.00
_cell_angle_gamma 90.00
loop_
_atom_site_label
_atom_site_fract_x
_atom_site_fract_y
_atom_site_fract_z
Li1 0.000 0.000 0.000
Zr1 0.000 0.500 0.500
Mo1 0.500 0.500 0.500
```

Properties
* calculated total energy: -34.83 eV/cell
* offset from the most stable computed form: 0 meV/atom
* DFT formation energy: 0.712 eV per atom

---

Material: K2RbIn3I6
Method: DFT, GGA-PBE
State: relaxed

Structure (CIF):
```
data_K2RbIn3I6
_chemical_formula_sum 'K4 Rb2 In6 I12'
_space_group_name_H-M_alt 'C 1 2/m 1'
_space_group_IT_number 12
_space_group_name_Hall '-C 2y'
_cell_length_a 22.082
_cell_length_b 5.064
_cell_length_c 10.137
_cell_angle_alpha 90.00
_cell_angle_beta 103.19
_cell_angle_gamma 90.00
loop_
_atom_site_label
_atom_site_fract_x
_atom_site_fract_y
_atom_site_fract_z
K1 0.168 0.000 0.335
Rb1 0.000 0.500 0.000
In1 0.000 0.500 0.500
In2 0.167 0.000 0.832
I1 0.002 0.000 0.264
I2 0.165 0.500 0.584
I3 0.171 0.500 0.086
```

Properties
* uncorrected formation energy: -93 kJ per mole of atoms
* calculated total energy: -64.44 eV/cell

---

Material: Be3Hg
Method: DFT, GGA-PBE
State: relaxed

Structure (CIF):
```
data_Be3Hg
_chemical_formula_sum 'Be3 Hg1'
_space_group_name_H-M_alt 'P m -3 m'
_space_group_IT_number 221
_space_group_name_Hall '-P 4 2 3'
_cell_length_a 4.504
_cell_length_b 4.504
_cell_length_c 4.504
_cell_angle_alpha 90.00
_cell_angle_beta 90.00
_cell_angle_gamma 90.00
loop_
_atom_site_label
_atom_site_fract_x
_atom_site_fract_y
_atom_site_fract_z
Be1 0.000 0.000 0.500
Hg1 0.000 0.000 0.000
```

Properties
* calculated total energy: -6.93 eV/cell
* offset from the most stable computed form: 873 meV/atom
* DFT formation energy: 1.138 eV per atom

---

Material: TcRu2Se
Method: DFT, GGA-PBE
State: relaxed

Structure (CIF):
```
data_TcRu2Se
_chemical_formula_sum 'Tc1 Ru2 Se1'
_space_group_name_H-M_alt 'P 4 m m'
_space_group_IT_number 99
_space_group_name_Hall 'P 4 -2'
_cell_length_a 2.924
_cell_length_b 2.924
_cell_length_c 6.852
_cell_angle_alpha 90.00
_cell_angle_beta 90.00
_cell_angle_gamma 90.00
loop_
_atom_site_label
_atom_site_fract_x
_atom_site_fract_y
_atom_site_fract_z
Tc1 0.000 0.000 0.000
Ru1 0.000 0.000 0.528
Ru2 0.500 0.500 0.236
Se1 0.500 0.500 0.742
```

Properties
* uncorrected formation energy: 22 kJ per mole of atoms
* calculated total energy: -31.51 eV/cell

---

Material: Tl2MoPb
Method: DFT, GGA-PBE
State: relaxed

Structure (CIF):
```
data_Tl2MoPb
_chemical_formula_sum 'Tl4 Mo2 Pb2'
_space_group_name_H-M_alt 'I m m 2'
_space_group_IT_number 44
_space_group_name_Hall 'I 2 -2'
_cell_length_a 3.052
_cell_length_b 4.964
_cell_length_c 14.256
_cell_angle_alpha 90.00
_cell_angle_beta 90.00
_cell_angle_gamma 90.00
loop_
_atom_site_label
_atom_site_fract_x
_atom_site_fract_y
_atom_site_fract_z
Tl1 0.000 0.000 0.000
Tl2 0.000 0.500 0.179
Mo1 0.000 0.000 0.497
Pb1 0.000 0.500 0.818
```

Properties
* calculated total energy: -34.63 eV/cell
* offset from the most stable computed form: 0 meV/atom
* DFT formation energy: 0.489 eV per atom

---

no.,total magnetic moment (μB/cell)
1,0.0
2,0.3
3,29.5
4,0.0
5,0.0
6,0.0
7,0.0
8,0.5